A geometry-optimized Sc3ZnRh structure. Source: Alexandria, functional PBE.

```
Sc3ZnRh
1.0
-1.482 -2.005 4.314
3.916 -3.080 -0.086
2.701 3.365 2.492
Sc Zn Rh
3 1 1
Cartesian
1.958 -1.540 -0.043
1.351 1.682 1.246
-0.741 -1.003 2.157
2.568 -0.860 3.360
0.000 0.000 0.000
```

## Properties
As for the space group: Pm-3m. Its energy above the lowest structure with this stoichiometry is 0.394 eV per atom. The calculated formation energy comes out at -0.13 eV per atom.


A geometry-optimized Sn2BrCl structure. Source: Alexandria, functional PBE.

```
Sn2BrCl
1.0
8.338 0.000 0.000
0.000 8.338 0.000
4.169 4.169 3.378
Sn Br Cl
4 2 2
Cartesian
6.172 2.084 0.845
2.166 6.253 0.845
6.253 6.334 2.534
10.422 10.341 2.534
0.000 0.000 0.000
8.338 4.169 1.689
4.169 4.169 0.000
4.169 8.338 1.689
```

## Properties
As for the space group: I-42d. Its energy above the lowest structure with this stoichiometry is 0.000 eV per atom.


A geometry-optimized CeAl2AgAu4 structure. Source: Alexandria, functional PBE.

```
CeAl2AgAu4
1.0
4.468 0.000 0.000
2.234 3.869 0.000
2.234 1.290 9.167
Ce Al Ag Au
1 2 1 4
Cartesian
0.000 0.000 0.000
6.702 3.869 6.560
2.234 1.290 2.607
4.468 2.579 4.583
4.468 2.579 7.481
6.702 3.869 3.383
2.234 1.290 5.784
4.468 2.579 1.685
```

## Properties
As for the space group: R-3m. The calculated formation energy comes out at -0.42 eV per atom.


A geometry-optimized Nd6USe12 structure. Source: Alexandria, functional PBE.

```
Nd6USe12
1.0
-0.788 -6.173 -5.653
-2.209 -4.285 6.888
-7.273 3.972 -1.422
Nd U Se
6 1 12
Cartesian
-5.052 -6.433 1.548
-2.254 -4.751 -1.609
-3.857 -2.350 3.138
-5.218 -0.054 -1.735
-8.017 -1.735 1.422
-6.414 -4.136 -3.325
0.000 0.000 0.000
-4.982 -5.873 -1.299
-6.330 -3.848 2.476
-7.374 -2.079 -1.517
-5.288 -0.613 1.112
-3.941 -2.638 -2.663
-2.896 -4.407 1.330
-4.539 -3.341 5.903
-8.301 0.654 3.239
-2.753 -8.110 2.544
-5.732 -3.145 -6.090
-1.969 -7.140 -3.427
-7.517 1.624 -2.732
```

## Properties
As for the space group: R-3.


A geometry-optimized Ba2AuS structure. Source: Alexandria, functional PBE.

```
Ba2AuS
1.0
4.537 0.000 0.000
2.269 3.929 0.000
2.269 1.310 8.094
Ba Au S
2 1 1
Cartesian
2.269 1.310 5.995
2.269 1.310 2.108
4.537 2.619 0.003
4.537 2.619 4.035
```

## Properties
As for the space group: R3m.


A geometry-optimized SrCaSnP2O8 structure. Source: Alexandria, functional PBE.

```
SrCaSnP2O8
1.0
-2.361 5.233 0.410
-2.031 -1.504 -6.440
-6.058 -5.161 6.625
Sr Ca Sn P O
2 2 2 4 16
Cartesian
-2.500 0.023 -4.685
-7.950 -1.455 5.280
-5.001 -3.818 1.714
-5.448 2.386 -1.119
-6.828 -0.826 -1.158
-3.622 -0.606 1.753
-2.852 0.118 -1.089
-7.598 -1.550 1.684
-3.589 2.612 1.986
-6.860 -4.044 -1.391
-8.482 -0.765 2.699
-3.273 1.507 -1.615
-8.324 -1.670 0.298
-4.432 -3.621 3.968
-7.176 -2.939 2.209
-5.538 -3.645 -0.632
-4.912 2.213 1.226
-7.962 -4.576 -0.472
-2.126 0.239 0.297
-2.488 3.145 1.067
-1.968 -0.667 -2.104
-4.075 -0.810 -0.784
-6.374 -0.621 1.379
-5.072 -0.160 -3.706
-6.017 2.189 -3.374
-5.378 -1.272 4.300
```

## Properties
As for the space group: P-1. Its energy above the lowest structure with this stoichiometry is 0.000 eV per atom.


A geometry-optimized ThTi6Co2 structure. Source: Alexandria, functional PBE.

```
ThTi6Co2
1.0
4.138 0.000 0.000
0.000 4.138 0.000
0.000 0.000 9.118
Th Ti Co
1 6 2
Cartesian
0.000 0.000 0.000
0.000 2.069 2.593
2.069 0.000 2.593
0.000 2.069 6.525
2.069 0.000 6.525
2.069 2.069 4.559
0.000 0.000 4.559
2.069 2.069 1.239
2.069 2.069 7.879
```

## Properties
As for the space group: P4/mmm. The calculated formation energy comes out at -0.14 eV per atom.


A geometry-optimized AlSnP2Cl structure. Source: Alexandria, functional PBE.

```
AlSnP2Cl
1.0
-0.227 -2.872 -3.767
-0.702 -3.709 2.870
-4.707 0.699 -0.248
P Al Sn Cl
2 1 1 1
Cartesian
-0.351 -1.855 1.435
-0.114 -1.436 -1.883
0.000 0.000 0.000
-2.818 -2.941 -0.573
-2.353 0.349 -0.124
```

## Properties
As for the space group: P4/mmm. Its energy above the lowest structure with this stoichiometry is 0.000 eV per atom.


| no. | E_tot (eV per atom) |
| --- | --- |
| 1 | -5.651 |
| 2 | -3.209 |
| 3 | -4.091 |
| 4 | -5.967 |
| 5 | -4.043 |
| 6 | -6.986 |
| 7 | -7.811 |
| 8 | -3.981 |